1.
Material: RbBaRe2
Method: DFT, PBE
State: relaxed

## Properties
energy relative to the lowest polymorph listed for this composition = 187 meV/atom
magnetic moment = 7.02 μB per formula unit
VASP energy = -4.483 eV per atom
mass density = 7756 kg/m³
formation enthalpy at 0 K = 2463 meV per atom

The structure in CIF format:
```
data_RbBaRe2
_chemical_formula_sum 'Rb4 Ba4 Re8'
_cell_length_a 7.988
_cell_length_b 7.988
_cell_length_c 7.988
_cell_angle_alpha 90.00
_cell_angle_beta 90.00
_cell_angle_gamma 90.00
_symmetry_space_group_name_H-M 'F m -3 m'
_symmetry_Int_Tables_number 225
_symmetry_space_group_name_Hall '-F 4 2 3'
loop_
_atom_site_label
_atom_site_fract_x
_atom_site_fract_y
_atom_site_fract_z
_atom_site_occupancy
Rb1 0.000 0.000 0.000 1
Ba1 0.000 0.000 0.500 1
Re1 0.250 0.250 0.250 1
```

2.
Material: PaGa2AgO8
Method: DFT, PBE
State: relaxed

## Properties
raw formation energy = -1448.4 meV per atom
magnetic moment = 2.07 μB per formula unit
VASP energy = -6.287 eV per atom
mass density = 6182 kg/m³

The structure in CIF format:
```
data_PaGa2AgO8
_chemical_formula_sum 'Pa2 Ga4 Ag2 O16'
_cell_length_a 6.820
_cell_length_b 6.820
_cell_length_c 7.002
_cell_angle_alpha 90.00
_cell_angle_beta 90.00
_cell_angle_gamma 90.00
_symmetry_space_group_name_H-M 'I -4 m 2'
_symmetry_Int_Tables_number 119
_symmetry_space_group_name_Hall 'I -4 -2'
loop_
_atom_site_label
_atom_site_fract_x
_atom_site_fract_y
_atom_site_fract_z
_atom_site_occupancy
Pa1 0.000 0.000 0.000 1
Ga1 0.000 0.000 0.500 1
Ga2 0.000 0.500 0.750 1
Ag1 0.000 0.500 0.250 1
O1 0.000 0.183 0.298 1
O2 0.000 0.304 0.928 1
```

3.
Material: SmDyTl
Method: DFT, PBE
State: relaxed

## Properties
energy relative to the lowest polymorph listed for this composition = 108 meV/atom
magnetic moment = 0.00 μB per formula unit
VASP energy = -4.050 eV per atom
mass density = 9476 kg/m³
formation enthalpy at 0 K = -155 meV per atom

The structure in CIF format:
```
data_SmDyTl
_chemical_formula_sum 'Sm1 Dy1 Tl1'
_cell_length_a 5.2948
_cell_length_b 5.2948
_cell_length_c 3.7332
_cell_angle_alpha 90.00
_cell_angle_beta 90.00
_cell_angle_gamma 120.00
_symmetry_space_group_name_H-M 'P 3 m 1'
_symmetry_Int_Tables_number 156
_symmetry_space_group_name_Hall 'P 3 -2"'
loop_
_atom_site_label
_atom_site_fract_x
_atom_site_fract_y
_atom_site_fract_z
_atom_site_occupancy
Sm1 0.0000 0.0000 0.0000 1
Dy1 0.3333 0.6667 0.4669 1
Tl1 0.6667 0.3333 0.6167 1
```

4.
Material: SnGe2F8
Method: DFT, PBE
State: relaxed

## Properties
raw formation energy = -2269.1 meV per atom
magnetic moment = 0.00 μB per formula unit
VASP energy = -4.833 eV per atom
mass density = 3837 kg/m³

The structure in CIF format:
```
data_SnGe2F8
_chemical_formula_sum 'Sn2 Ge4 F16'
_cell_length_a 9.743
_cell_length_b 7.332
_cell_length_c 5.259
_cell_angle_alpha 90.00
_cell_angle_beta 106.63
_cell_angle_gamma 90.00
_symmetry_space_group_name_H-M 'C 1 2/m 1'
_symmetry_Int_Tables_number 12
_symmetry_space_group_name_Hall '-C 2y'
loop_
_atom_site_label
_atom_site_fract_x
_atom_site_fract_y
_atom_site_fract_z
_atom_site_occupancy
Sn1 0.000 0.000 0.000 1
Ge1 0.147 0.500 0.260 1
F1 0.098 0.500 0.883 1
F2 0.122 0.194 0.227 1
F3 0.132 0.000 0.766 1
```

5.
Material: Tb3Pm4Sc4
Method: DFT, PBE
State: relaxed

## Properties
magnetic moment = 0.00 μB per formula unit
VASP energy = -5.212 eV per atom
mass density = 6257 kg/m³
formation enthalpy at 0 K = 81 meV per atom

The structure in CIF format:
```
data_Tb3Pm4Sc4
_chemical_formula_sum 'Tb3 Pm4 Sc4'
_cell_length_a 3.430
_cell_length_b 5.510
_cell_length_c 17.662
_cell_angle_alpha 81.04
_cell_angle_beta 84.43
_cell_angle_gamma 89.99
_symmetry_space_group_name_H-M 'P -1'
_symmetry_Int_Tables_number 2
_symmetry_space_group_name_Hall '-P 1'
loop_
_atom_site_label
_atom_site_fract_x
_atom_site_fract_y
_atom_site_fract_z
_atom_site_occupancy
Tb1 0.000 0.000 0.000 1
Tb2 0.137 0.636 0.729 1
Pm1 0.269 0.269 0.463 1
Pm2 0.409 0.909 0.182 1
Sc1 0.318 0.819 0.362 1
Sc2 0.455 0.456 0.088 1
```

6.
Material: TaGa2AuCl
Method: DFT, PBE
State: relaxed

## Properties
raw formation energy = 1114.7 meV per atom
magnetic moment = 0.00 μB per formula unit
VASP energy = -3.491 eV per atom
mass density = 8607 kg/m³

The structure in CIF format:
```
data_TaGa2AuCl
_chemical_formula_sum 'Ta1 Ga2 Au1 Cl1'
_cell_length_a 4.775
_cell_length_b 4.775
_cell_length_c 4.678
_cell_angle_alpha 90.00
_cell_angle_beta 90.00
_cell_angle_gamma 90.00
_symmetry_space_group_name_H-M 'P 4/m m m'
_symmetry_Int_Tables_number 123
_symmetry_space_group_name_Hall '-P 4 2'
loop_
_atom_site_label
_atom_site_fract_x
_atom_site_fract_y
_atom_site_fract_z
_atom_site_occupancy
Ta1 0.000 0.000 0.000 1
Ga1 0.000 0.500 0.500 1
Au1 0.500 0.500 0.000 1
Cl1 0.500 0.500 0.500 1
```

7.
Material: Hf2PaTl
Method: DFT, PBE
State: relaxed

## Properties
energy relative to the lowest polymorph listed for this composition = 60 meV/atom
magnetic moment = 0.00 μB per formula unit
VASP energy = -7.822 eV per atom
mass density = 13659 kg/m³
formation enthalpy at 0 K = 120 meV per atom

The structure in CIF format:
```
data_Hf2PaTl
_chemical_formula_sum 'Hf6 Pa3 Tl3'
_cell_length_a 3.2887
_cell_length_b 3.2887
_cell_length_c 30.8540
_cell_angle_alpha 90.00
_cell_angle_beta 90.00
_cell_angle_gamma 120.00
_symmetry_space_group_name_H-M 'R -3 m'
_symmetry_Int_Tables_number 166
_symmetry_space_group_name_Hall '-R 3 2"'
loop_
_atom_site_label
_atom_site_fract_x
_atom_site_fract_y
_atom_site_fract_z
_atom_site_occupancy
Hf1 0.0000 0.0000 0.2495 1
Pa1 0.0000 0.0000 0.0000 1
Tl1 0.0000 0.0000 0.5000 1
```

8.
Material: ZnOs2Pd
Method: DFT, PBE
State: relaxed

## Properties
magnetic moment = 1.74 μB per formula unit
VASP energy = -6.245 eV per atom
mass density = 14272 kg/m³
formation enthalpy at 0 K = 986 meV per atom

The structure in CIF format:
```
data_ZnOs2Pd
_chemical_formula_sum 'Zn4 Os8 Pd4'
_cell_length_a 7.138
_cell_length_b 7.138
_cell_length_c 5.045
_cell_angle_alpha 90.00
_cell_angle_beta 90.00
_cell_angle_gamma 90.00
_symmetry_space_group_name_H-M 'I -4 2 d'
_symmetry_Int_Tables_number 122
_symmetry_space_group_name_Hall 'I -4 2bw'
loop_
_atom_site_label
_atom_site_fract_x
_atom_site_fract_y
_atom_site_fract_z
_atom_site_occupancy
Zn1 0.000 0.000 0.000 1
Os1 0.243 0.750 0.125 1
Pd1 0.000 0.000 0.500 1
```